## Sr3WAu (PBE-GGA)

Data for crystalline Sr3WAu at its relaxed geometry.

Its energy of formation from the pure elements is 798 meV per atom. For the total moment, the calculation gives 4.45 μB/f.u. The calculation puts the relative energy among the computed polymorphs at 0.0000 eV/atom.

The structure belongs to space group Pm-3m (No. 221); the cell edges are 5.915, 5.915 and 5.915 Å and the angles 90.00°, 90.00° and 90.00°. The inequivalent atoms are Sr at (0.000, 0.000, 0.500), W at (0.500, 0.500, 0.500) and Au at (0.000, 0.000, 0.000).

---

## SrWAu2 (PBE-GGA)

Data for crystalline SrWAu2 at its relaxed geometry.

Its energy of formation from the pure elements is 456 meV per atom. For the total moment, the calculation gives 0.00 μB/f.u. The calculation puts the relative energy among the computed polymorphs at 0.1935 eV/atom.

The structure belongs to space group Pmm2 (No. 25); the cell edges are 3.033, 4.285 and 6.779 Å and the angles 90.00°, 90.00° and 90.00°. The inequivalent atoms are Sr at (0.000, 0.000, 0.000), W at (0.500, 0.500, 0.343), Au at (0.000, 0.000, 0.473) and Au at (0.500, 0.500, 0.746).

---

## SrWAu3 (PBE-GGA)

Data for crystalline SrWAu3 at its relaxed geometry.

Its energy of formation from the pure elements is 1728 meV per atom. For the total moment, the calculation gives 4.91 μB/f.u. The calculation puts the relative energy among the computed polymorphs at 1.4412 eV/atom.

The structure belongs to space group Pm-3m (No. 221); the cell edges are 5.564, 5.564 and 5.564 Å and the angles 90.00°, 90.00° and 90.00°. The inequivalent atoms are Sr at (0.000, 0.000, 0.000), W at (0.500, 0.500, 0.500) and Au at (0.000, 0.000, 0.500).

---

## SrW3Au (PBE-GGA)

Data for crystalline SrW3Au at its relaxed geometry.

Its energy of formation from the pure elements is 2330 meV per atom. For the total moment, the calculation gives 0.00 μB/f.u. The calculation puts the relative energy among the computed polymorphs at 0.0000 eV/atom.

The structure belongs to space group Pm-3m (No. 221); the cell edges are 4.996, 4.996 and 4.996 Å and the angles 90.00°, 90.00° and 90.00°. The inequivalent atoms are Sr at (0.000, 0.000, 0.000), W at (0.000, 0.500, 0.500) and Au at (0.500, 0.500, 0.500).

---

## SrW2Au (PBE-GGA)

Data for crystalline SrW2Au at its relaxed geometry.

Its energy of formation from the pure elements is 426 meV per atom. For the total moment, the calculation gives 0.00 μB/f.u. The calculation puts the relative energy among the computed polymorphs at 0.0000 eV/atom.

The structure belongs to space group Pm (No. 6); the cell edges are 3.361, 3.281 and 7.833 Å and the angles 90.00°, 91.36° and 90.00°. The inequivalent atoms are Sr at (0.000, 0.000, 0.000), W at (0.041, 0.000, 0.522), W at (0.497, 0.500, 0.676) and Au at (0.512, 0.500, 0.290).

---

## SrW4Au (PBE-GGA)

Data for crystalline SrW4Au at its relaxed geometry.

Its energy of formation from the pure elements is 798 meV per atom. For the total moment, the calculation gives 0.00 μB/f.u.

The structure belongs to space group F-43m (No. 216); the cell edges are 7.759, 7.759 and 7.759 Å and the angles 90.00°, 90.00° and 90.00°. The inequivalent atoms are Sr at (0.000, 0.000, 0.000), W at (0.126, 0.126, 0.626) and Au at (0.250, 0.250, 0.250).

---

## SrWAu4 (PBE-GGA)

Data for crystalline SrWAu4 at its relaxed geometry.

Its energy of formation from the pure elements is 343 meV per atom. For the total moment, the calculation gives 3.63 μB/f.u.

The structure belongs to space group F-43m (No. 216); the cell edges are 7.952, 7.952 and 7.952 Å and the angles 90.00°, 90.00° and 90.00°. The inequivalent atoms are Sr at (0.000, 0.000, 0.000), W at (0.250, 0.250, 0.750) and Au at (0.125, 0.125, 0.375).

---

## Sr3WAu (PBE-GGA)

Data for crystalline Sr3WAu at its relaxed geometry.

Its energy of formation from the pure elements is 935 meV per atom. For the total moment, the calculation gives 0.00 μB/f.u. The calculation puts the relative energy among the computed polymorphs at 0.1370 eV/atom.

The structure belongs to space group Pm-3m (No. 221); the cell edges are 5.742, 5.742 and 5.742 Å and the angles 90.00°, 90.00° and 90.00°. The inequivalent atoms are Sr at (0.000, 0.000, 0.500), W at (0.000, 0.000, 0.000) and Au at (0.500, 0.500, 0.500).